Record 1
This record from Alexandria describes MoPt2W after structural relaxation. The functional is PBE.

The energy above the most stable polymorph in this dataset comes out at 0.25 eV per formula unit. The calculation puts the total magnetic moment at 0.00 μB/atom. The energy of formation from the pure elements is -0.235 eV/atom.

It has space group Pmmm (No. 47), with a = 2.734 Å, b = 4.148 Å, c = 5.476 Å, α = 90.00°, β = 90.00° and γ = 90.00°. The distinct sites, in fractional coordinates, are Mo at (0.000, 0.000, 0.000), Pt at (0.500, 0.500, 0.250) and W at (0.000, 0.000, 0.500).

=====

Record 2
This record from Alexandria describes CuIr2S4 after structural relaxation. The functional is PBE.

The energy above the most stable polymorph in this dataset comes out at 2.08 eV per formula unit. The calculation puts the total magnetic moment at 0.00 μB/atom. The formation energy from raw total energies is -0.07 eV per atom.

It has space group I4_1/a (No. 88, origin choice 2), with a = 6.001 Å, b = 6.001 Å, c = 13.217 Å, α = 90.00°, β = 90.00° and γ = 90.00°. The distinct sites, in fractional coordinates, are Cu at (0.000, 0.250, 0.125), Ir at (0.000, 0.000, 0.500) and S at (0.183, 0.062, 0.348).